# Li3ZrRe | Alexandria | GGA-PBE | relaxed
data_Li3ZrRe
_cell_length_a 4.491
_cell_length_b 4.491
_cell_length_c 4.491
_cell_angle_alpha 90.00
_cell_angle_beta 90.00
_cell_angle_gamma 90.00
_space_group_name_H-M_alt 'P 1'
_space_group_IT_number 1
loop_
_space_group_symop_operation_xyz
'x,y,z'
loop_
_atom_site_label
_atom_site_type_symbol
_atom_site_fract_x
_atom_site_fract_y
_atom_site_fract_z
_atom_site_occupancy
Re1 Re 0.000 0.000 0.000 1
Zr1 Zr 0.500 0.500 0.500 1
Li1 Li 0.000 0.500 0.000 1
Li2 Li 0.000 0.000 0.500 1
Li3 Li 0.500 0.000 0.000 1
# SG = Pm-3m
# Formation enthalpy at 0 K = 6.8 eV/f.u.

***

# CdInNi2 | Alexandria | GGA-PBE | relaxed
data_CdInNi2
_cell_length_a 8.397
_cell_length_b 8.397
_cell_length_c 8.397
_cell_angle_alpha 20.75
_cell_angle_beta 20.75
_cell_angle_gamma 20.75
_space_group_name_H-M_alt 'P 1'
_space_group_IT_number 1
loop_
_space_group_symop_operation_xyz
'x,y,z'
loop_
_atom_site_label
_atom_site_type_symbol
_atom_site_fract_x
_atom_site_fract_y
_atom_site_fract_z
_atom_site_occupancy
Cd1 Cd 0.250 0.250 0.250 1
In1 In 0.750 0.750 0.750 1
Ni1 Ni 0.002 0.002 0.002 1
Ni2 Ni 0.498 0.498 0.498 1
# SG = R-3m
# Formation enthalpy at 0 K = 0.6 eV/f.u.

***

# AcPrSnBr | Alexandria | GGA-PBE | relaxed
data_AcPrSnBr
_cell_length_a 5.608
_cell_length_b 5.608
_cell_length_c 5.608
_cell_angle_alpha 60.00
_cell_angle_beta 60.00
_cell_angle_gamma 60.00
_space_group_name_H-M_alt 'P 1'
_space_group_IT_number 1
loop_
_space_group_symop_operation_xyz
'x,y,z'
loop_
_atom_site_label
_atom_site_type_symbol
_atom_site_fract_x
_atom_site_fract_y
_atom_site_fract_z
_atom_site_occupancy
Pr1 Pr 0.500 0.500 0.500 1
Ac1 Ac 0.000 0.000 0.000 1
Sn1 Sn 0.250 0.250 0.250 1
Br1 Br 0.750 0.750 0.750 1
# SG = F-43m
# E_form (uncorrected) = -0.94 eV per atom